P) ! CdBiSe2, optimized geometry, DFT PBE-GGA; values from VASP
&SYSTEM
  ibrav = 0, nat = 4, ntyp = 3
/
ATOMIC_SPECIES
Cd 112.41 Cd.upf
Bi 208.98 Bi.upf
Se 78.96 Se.upf
ATOMIC_POSITIONS crystal
Cd 0.000 0.000 0.000
Bi 0.500 0.500 0.500
Se 0.103 0.103 0.103
Se 0.897 0.897 0.897
CELL_PARAMETERS angstrom
2.164 1.249 8.576
-2.164 1.249 8.576
0.000 -2.499 8.576
! Crystal system   trigonal

Q) ! CdBiSe2, optimized geometry, DFT PBE-GGA; values from VASP
&SYSTEM
  ibrav = 0, nat = 8, ntyp = 3
/
ATOMIC_SPECIES
Cd 112.41 Cd.upf
Bi 208.98 Bi.upf
Se 78.96 Se.upf
ATOMIC_POSITIONS crystal
Cd 0.000 0.000 0.000
Cd 0.750 0.250 0.500
Bi 0.250 0.750 0.500
Bi 0.500 0.500 0.000
Se 0.105 0.625 0.980
Se 0.375 0.355 0.480
Se 0.645 0.125 0.020
Se 0.875 0.895 0.520
CELL_PARAMETERS angstrom
-3.028 3.028 7.418
3.028 -3.028 7.418
3.028 3.028 -7.418
! Crystal system   tetragonal

R) ! CdBiSe2, optimized geometry, DFT PBE-GGA; values from VASP
&SYSTEM
  ibrav = 0, nat = 4, ntyp = 3
/
ATOMIC_SPECIES
Cd 112.41 Cd.upf
Bi 208.98 Bi.upf
Se 78.96 Se.upf
ATOMIC_POSITIONS crystal
Cd 0.000 0.000 0.000
Bi 0.500 0.500 0.500
Se 0.395 0.395 0.395
Se 0.605 0.605 0.605
CELL_PARAMETERS angstrom
1.918 1.107 9.060
-1.918 1.107 9.060
0.000 -2.214 9.060
! Crystal system   trigonal

The structure with the least stability is R).

P) ! CdBi3Se, optimized geometry, DFT PBE-GGA; values from VASP
&SYSTEM
  ibrav = 0, nat = 5, ntyp = 3
/
ATOMIC_SPECIES
Cd 112.41 Cd.upf
Bi 208.98 Bi.upf
Se 78.96 Se.upf
ATOMIC_POSITIONS crystal
Cd 0.000 0.000 0.000
Bi 0.000 0.500 0.500
Bi 0.500 0.000 0.500
Bi 0.500 0.500 0.000
Se 0.500 0.500 0.500
CELL_PARAMETERS angstrom
5.605 0.000 0.000
0.000 5.605 0.000
0.000 0.000 5.605
! Crystal system   cubic

Q) ! CdBi3Se, optimized geometry, DFT PBE-GGA; values from VASP
&SYSTEM
  ibrav = 0, nat = 5, ntyp = 3
/
ATOMIC_SPECIES
Cd 112.41 Cd.upf
Bi 208.98 Bi.upf
Se 78.96 Se.upf
ATOMIC_POSITIONS crystal
Cd 0.000 0.000 0.000
Bi 0.000 0.000 0.500
Bi 0.000 0.500 0.000
Bi 0.500 0.000 0.000
Se 0.500 0.500 0.500
CELL_PARAMETERS angstrom
5.636 0.000 0.000
0.000 5.636 0.000
0.000 0.000 5.636
! Crystal system   cubic

The structure with the least stability is Q).

P) ! CdBiSe3, optimized geometry, DFT PBE-GGA; values from VASP
&SYSTEM
  ibrav = 0, nat = 10, ntyp = 3
/
ATOMIC_SPECIES
Cd 112.41 Cd.upf
Bi 208.98 Bi.upf
Se 78.96 Se.upf
ATOMIC_POSITIONS crystal
Cd 0.173 0.250 0.203
Cd 0.827 0.750 0.797
Bi 0.317 0.250 0.804
Bi 0.683 0.750 0.196
Se 0.096 0.750 0.359
Se 0.238 0.750 0.007
Se 0.402 0.750 0.636
Se 0.598 0.250 0.364
Se 0.762 0.250 0.993
Se 0.904 0.250 0.641
CELL_PARAMETERS angstrom
7.249 0.000 0.000
0.000 4.173 0.000
-3.579 0.000 9.111
! Crystal system   monoclinic

Q) ! CdBiSe3, optimized geometry, DFT PBE-GGA; values from VASP
&SYSTEM
  ibrav = 0, nat = 5, ntyp = 3
/
ATOMIC_SPECIES
Cd 112.41 Cd.upf
Bi 208.98 Bi.upf
Se 78.96 Se.upf
ATOMIC_POSITIONS crystal
Cd 0.000 0.000 0.000
Bi 0.500 0.500 0.500
Se 0.000 0.000 0.500
Se 0.000 0.500 0.000
Se 0.500 0.000 0.000
CELL_PARAMETERS angstrom
5.190 0.000 0.000
0.000 5.190 0.000
0.000 0.000 5.190
! Crystal system   cubic

The structure with the least stability is Q).

P) ! Cd3BiSe, optimized geometry, DFT PBE-GGA; values from VASP
&SYSTEM
  ibrav = 0, nat = 5, ntyp = 3
/
ATOMIC_SPECIES
Cd 112.41 Cd.upf
Bi 208.98 Bi.upf
Se 78.96 Se.upf
ATOMIC_POSITIONS crystal
Cd 0.000 0.000 0.500
Cd 0.000 0.500 0.000
Cd 0.500 0.000 0.000
Bi 0.000 0.000 0.000
Se 0.500 0.500 0.500
CELL_PARAMETERS angstrom
5.654 0.000 0.000
0.000 5.654 0.000
0.000 0.000 5.654
! Crystal system   cubic

Q) ! Cd3BiSe, optimized geometry, DFT PBE-GGA; values from VASP
&SYSTEM
  ibrav = 0, nat = 5, ntyp = 3
/
ATOMIC_SPECIES
Cd 112.41 Cd.upf
Bi 208.98 Bi.upf
Se 78.96 Se.upf
ATOMIC_POSITIONS crystal
Cd 0.000 0.000 0.500
Cd 0.000 0.500 0.000
Cd 0.500 0.000 0.000
Bi 0.500 0.500 0.500
Se 0.000 0.000 0.000
CELL_PARAMETERS angstrom
5.335 0.000 0.000
0.000 5.335 0.000
0.000 0.000 5.335
! Crystal system   cubic

The structure with the least stability is P).

P) ! Cd2SiBi2, optimized geometry, DFT PBE-GGA; values from VASP
&SYSTEM
  ibrav = 0, nat = 10, ntyp = 3
/
ATOMIC_SPECIES
Cd 112.41 Cd.upf
Si 28.09 Si.upf
Bi 208.98 Bi.upf
ATOMIC_POSITIONS crystal
Cd 0.144 0.356 0.000
Cd 0.356 0.856 0.000
Cd 0.644 0.144 0.000
Cd 0.856 0.644 0.000
Si 0.000 0.000 0.000
Si 0.500 0.500 0.000
Bi 0.171 0.671 0.500
Bi 0.329 0.171 0.500
Bi 0.671 0.829 0.500
Bi 0.829 0.329 0.500
CELL_PARAMETERS angstrom
7.073 0.000 0.000
0.000 7.073 0.000
0.000 0.000 5.329
! Crystal system   tetragonal

Q) ! Cd2SiBi2, optimized geometry, DFT PBE-GGA; values from VASP
&SYSTEM
  ibrav = 0, nat = 10, ntyp = 3
/
ATOMIC_SPECIES
Cd 112.41 Cd.upf
Si 28.09 Si.upf
Bi 208.98 Bi.upf
ATOMIC_POSITIONS crystal
Cd 0.117 0.383 0.000
Cd 0.383 0.883 0.000
Cd 0.617 0.117 0.000
Cd 0.883 0.617 0.000
Si 0.000 0.000 0.500
Si 0.500 0.500 0.500
Bi 0.189 0.689 0.500
Bi 0.311 0.189 0.500
Bi 0.689 0.811 0.500
Bi 0.811 0.311 0.500
CELL_PARAMETERS angstrom
8.741 0.000 0.000
0.000 8.741 0.000
0.000 0.000 3.627
! Crystal system   tetragonal

The structure with the least stability is Q).

P) ! Cd3SiBi, optimized geometry, DFT PBE-GGA; values from VASP
&SYSTEM
  ibrav = 0, nat = 5, ntyp = 3
/
ATOMIC_SPECIES
Cd 112.41 Cd.upf
Si 28.09 Si.upf
Bi 208.98 Bi.upf
ATOMIC_POSITIONS crystal
Cd 0.000 0.000 0.500
Cd 0.000 0.500 0.000
Cd 0.500 0.000 0.000
Si 0.500 0.500 0.500
Bi 0.000 0.000 0.000
CELL_PARAMETERS angstrom
5.802 0.000 0.000
0.000 5.802 0.000
0.000 0.000 5.802
! Crystal system   cubic

Q) ! Cd3SiBi, optimized geometry, DFT PBE-GGA; values from VASP
&SYSTEM
  ibrav = 0, nat = 5, ntyp = 3
/
ATOMIC_SPECIES
Cd 112.41 Cd.upf
Si 28.09 Si.upf
Bi 208.98 Bi.upf
ATOMIC_POSITIONS crystal
Cd 0.000 0.000 0.500
Cd 0.000 0.500 0.000
Cd 0.500 0.000 0.000
Si 0.000 0.000 0.000
Bi 0.500 0.500 0.500
CELL_PARAMETERS angstrom
5.162 0.000 0.000
0.000 5.162 0.000
0.000 0.000 5.162
! Crystal system   cubic

The structure with the least stability is P).